## CaSm2VO6 (PBE+U)

Data for crystalline CaSm2VO6 at its relaxed geometry.

Cell and atoms, written as POSCAR:
```
CaSm2VO6
1.0
-1.727 3.117 4.214
0.593 -4.571 3.625
7.711 2.149 1.450
Sm Ca O V
4 2 12 2
direct
0.518 0.563 0.753 Sm
0.482 0.437 0.247 Sm
0.982 0.063 0.747 Sm
0.018 0.937 0.253 Sm
0.500 0.000 0.000 Ca
0.000 0.500 0.500 Ca
0.174 0.214 0.076 O
0.719 0.327 0.945 O
0.127 0.441 0.771 O
0.873 0.559 0.229 O
0.373 0.941 0.729 O
0.219 0.173 0.445 O
0.326 0.714 0.424 O
0.674 0.286 0.576 O
0.281 0.673 0.055 O
0.627 0.059 0.271 O
0.826 0.786 0.924 O
0.781 0.827 0.555 O
0.000 0.500 0.000 V
0.500 0.000 0.500 V
```

Summary:
* space-group type: P2_1/c (14)
* total moment: 1.00 μB/f.u.
* total energy: -156.17 eV/cell